P2RhSCl | Alexandria via LeMat-Bulk | GGA-PBE | relaxed; SG = P4/mmm; formation energy from raw total energies = 650.2 meV per atom; total magnetic moment = 0.24 μB/atom
1.0
-2.944 0.614 -3.474
3.125 -1.645 -2.939
-1.713 -4.445 0.667
Cl P S Rh
1 2 1 1
Direct
0.500 0.500 0.500
0.000 0.500 0.000
0.500 0.000 0.000
0.000 0.000 0.500
0.000 0.000 0.000

PRhSCl2 | Alexandria via LeMat-Bulk | GGA-PBE | relaxed; SG = P4/mmm; formation energy from raw total energies = 1035.7 meV per atom; total magnetic moment = 0.28 μB/atom
1.0
4.448 0.000 0.000
0.000 4.448 0.000
0.000 0.000 5.176
Cl P S Rh
2 1 1 1
Direct
0.000 0.500 0.000
0.500 0.000 0.000
0.000 0.000 0.500
0.000 0.000 0.000
0.500 0.500 0.500

SbP2RhCl | Alexandria via LeMat-Bulk | GGA-PBE | relaxed; SG = P4/mmm; formation energy from raw total energies = 363.0 meV per atom; total magnetic moment = 0.00 μB/atom
1.0
4.668 0.000 0.000
0.000 4.668 0.000
0.000 0.000 4.737
Cl Rh P Sb
1 1 2 1
Direct
0.000 0.000 0.500
0.000 0.000 0.000
0.500 0.000 0.000
0.000 0.500 0.000
0.500 0.500 0.500

SbPRhCl2 | Alexandria via LeMat-Bulk | GGA-PBE | relaxed; SG = P4/mmm; formation energy from raw total energies = 177.4 meV per atom; total magnetic moment = 0.00 μB/atom
1.0
4.719 0.000 0.000
0.000 4.719 0.000
0.000 0.000 4.789
Sb Rh Cl P
1 1 2 1
Direct
0.500 0.500 0.500
0.000 0.000 0.000
0.000 0.500 0.000
0.500 0.000 0.000
0.000 0.000 0.500

SbPRhCl2 | Alexandria via LeMat-Bulk | GGA-PBE | relaxed; SG = P4/mmm; formation energy from raw total energies = 806.2 meV per atom; total magnetic moment = 0.26 μB/atom
1.0
-3.017 0.513 -4.089
-0.853 -5.036 -0.002
-4.254 0.719 3.228
Cl Rh Sb P
2 1 1 1
Direct
0.000 0.500 0.000
0.500 0.000 0.000
0.500 0.500 0.500
0.000 0.000 0.000
0.000 0.000 0.500

ScP2RhCl | Alexandria via LeMat-Bulk | GGA-PBE | relaxed; SG = P4/mmm; formation energy from raw total energies = 480.0 meV per atom; total magnetic moment = 0.16 μB/atom
1.0
-1.794 2.232 -4.052
-2.911 -3.922 -0.872
-3.413 1.958 2.590
Rh P Sc Cl
1 2 1 1
Direct
0.500 0.500 0.500
0.000 0.500 0.000
0.500 0.000 0.000
0.000 0.000 0.000
0.000 0.000 0.500

ScP2RhCl | Alexandria via LeMat-Bulk | GGA-PBE | relaxed; SG = P4/mmm; formation energy from raw total energies = -19.7 meV per atom; total magnetic moment = 0.00 μB/atom
1.0
4.572 0.000 0.000
0.000 4.572 0.000
0.000 0.000 4.858
Rh P Cl Sc
1 2 1 1
Direct
0.000 0.000 0.000
0.500 0.000 0.000
0.000 0.500 0.000
0.000 0.000 0.500
0.500 0.500 0.500

P2RhSeCl | Alexandria via LeMat-Bulk | GGA-PBE | relaxed; SG = P4/mmm; formation energy from raw total energies = 481.5 meV per atom; total magnetic moment = 0.00 μB/atom
1.0
4.643 0.000 0.000
0.000 4.643 0.000
0.000 0.000 4.678
Rh P Se Cl
1 2 1 1
Direct
0.000 0.000 0.000
0.500 0.000 0.000
0.000 0.500 0.000
0.500 0.500 0.500
0.000 0.000 0.500